P | A geometry-optimized CrFeOs structure, computed with PBEsol.

```
data_CrFeOs
_chemical_formula_sum 'Cr2 Fe2 Os2'
_cell_length_a 2.577
_cell_length_b 3.592
_cell_length_c 7.674
_cell_angle_alpha 90.00
_cell_angle_beta 90.00
_cell_angle_gamma 90.00
_space_group_name_H-M_alt 'I m m 2'
_space_group_IT_number 44
_space_group_name_Hall 'I 2 -2'
loop_
_atom_site_label
_atom_site_type_symbol
_atom_site_fract_x
_atom_site_fract_y
_atom_site_fract_z
Cr1 Cr 0.000 0.000 0.000
Fe1 Fe 0.000 0.000 0.661
Os1 Os 0.000 0.000 0.329
```

=====

Q | A geometry-optimized CrFeOs structure, computed with PBEsol.

```
data_CrFeOs
_chemical_formula_sum 'Cr4 Fe4 Os4'
_cell_length_a 5.466
_cell_length_b 5.466
_cell_length_c 5.466
_cell_angle_alpha 90.00
_cell_angle_beta 90.00
_cell_angle_gamma 90.00
_space_group_name_H-M_alt 'F -4 3 m'
_space_group_IT_number 216
_space_group_name_Hall 'F -4 2 3'
loop_
_atom_site_label
_atom_site_type_symbol
_atom_site_fract_x
_atom_site_fract_y
_atom_site_fract_z
Cr1 Cr 0.000 0.000 0.000
Fe1 Fe 0.250 0.250 0.250
Os1 Os 0.000 0.000 0.500
```

=====

R | A geometry-optimized CrFeOs structure, computed with PBEsol.

```
data_CrFeOs
_chemical_formula_sum 'Cr1 Fe1 Os1'
_cell_length_a 3.9691
_cell_length_b 3.9691
_cell_length_c 2.5835
_cell_angle_alpha 90.00
_cell_angle_beta 90.00
_cell_angle_gamma 120.00
_space_group_name_H-M_alt 'P -6 m 2'
_space_group_IT_number 187
_space_group_name_Hall 'P -6 2'
loop_
_atom_site_label
_atom_site_type_symbol
_atom_site_fract_x
_atom_site_fract_y
_atom_site_fract_z
Cr1 Cr 0.0000 0.0000 0.0000
Fe1 Fe 0.6667 0.3333 0.0000
Os1 Os 0.3333 0.6667 0.5000
```

=====

Which of them is the most stable? Correct choice: R.

=====

P | A geometry-optimized Cr2FeOs structure, computed with PBEsol.

```
data_Cr2FeOs
_chemical_formula_sum 'Cr2 Fe1 Os1'
_cell_length_a 3.615
_cell_length_b 3.615
_cell_length_c 3.593
_cell_angle_alpha 90.00
_cell_angle_beta 90.00
_cell_angle_gamma 90.00
_space_group_name_H-M_alt 'P 4/m m m'
_space_group_IT_number 123
_space_group_name_Hall '-P 4 2'
loop_
_atom_site_label
_atom_site_type_symbol
_atom_site_fract_x
_atom_site_fract_y
_atom_site_fract_z
Cr1 Cr 0.000 0.500 0.000
Fe1 Fe 0.000 0.000 0.500
Os1 Os 0.500 0.500 0.500
```

=====

Q | A geometry-optimized Cr2FeOs structure, computed with PBEsol.

```
data_Cr2FeOs
_chemical_formula_sum 'Cr4 Fe2 Os2'
_cell_length_a 2.904
_cell_length_b 4.069
_cell_length_c 8.011
_cell_angle_alpha 90.00
_cell_angle_beta 90.00
_cell_angle_gamma 90.00
_space_group_name_H-M_alt 'I m m 2'
_space_group_IT_number 44
_space_group_name_Hall 'I 2 -2'
loop_
_atom_site_label
_atom_site_type_symbol
_atom_site_fract_x
_atom_site_fract_y
_atom_site_fract_z
Cr1 Cr 0.000 0.000 0.000
Cr2 Cr 0.000 0.500 0.276
Fe1 Fe 0.000 0.000 0.528
Os1 Os 0.000 0.500 0.758
```

=====

R | A geometry-optimized Cr2FeOs structure, computed with PBEsol.

```
data_Cr2FeOs
_chemical_formula_sum 'Cr4 Fe2 Os2'
_cell_length_a 3.628
_cell_length_b 3.628
_cell_length_c 7.153
_cell_angle_alpha 90.00
_cell_angle_beta 90.00
_cell_angle_gamma 90.00
_space_group_name_H-M_alt 'I 4/m m m'
_space_group_IT_number 139
_space_group_name_Hall '-I 4 2'
loop_
_atom_site_label
_atom_site_type_symbol
_atom_site_fract_x
_atom_site_fract_y
_atom_site_fract_z
Cr1 Cr 0.000 0.500 0.250
Fe1 Fe 0.000 0.000 0.000
Os1 Os 0.000 0.000 0.500
```

=====

Which of them is the most stable? Correct choice: R.

=====

P | A geometry-optimized Cr2FeRh structure, computed with PBEsol.

```
data_Cr2FeRh
_chemical_formula_sum 'Cr4 Fe2 Rh2'
_cell_length_a 3.575
_cell_length_b 3.575
_cell_length_c 7.210
_cell_angle_alpha 90.00
_cell_angle_beta 90.00
_cell_angle_gamma 90.00
_space_group_name_H-M_alt 'I 4/m m m'
_space_group_IT_number 139
_space_group_name_Hall '-I 4 2'
loop_
_atom_site_label
_atom_site_type_symbol
_atom_site_fract_x
_atom_site_fract_y
_atom_site_fract_z
Cr1 Cr 0.000 0.500 0.250
Fe1 Fe 0.000 0.000 0.000
Rh1 Rh 0.000 0.000 0.500
```

=====

Q | A geometry-optimized Cr2FeRh structure, computed with PBEsol.

```
data_Cr2FeRh
_chemical_formula_sum 'Cr2 Fe1 Rh1'
_cell_length_a 2.561
_cell_length_b 3.494
_cell_length_c 5.127
_cell_angle_alpha 90.00
_cell_angle_beta 90.00
_cell_angle_gamma 90.00
_space_group_name_H-M_alt 'P m m m'
_space_group_IT_number 47
_space_group_name_Hall '-P 2 2'
loop_
_atom_site_label
_atom_site_type_symbol
_atom_site_fract_x
_atom_site_fract_y
_atom_site_fract_z
Cr1 Cr 0.000 0.000 0.224
Fe1 Fe 0.500 0.500 0.000
Rh1 Rh 0.500 0.500 0.500
```

=====

R | A geometry-optimized Cr2FeRh structure, computed with PBEsol.

```
data_Cr2FeRh
_chemical_formula_sum 'Cr4 Fe2 Rh2'
_cell_length_a 3.570
_cell_length_b 3.570
_cell_length_c 7.217
_cell_angle_alpha 90.00
_cell_angle_beta 90.00
_cell_angle_gamma 90.00
_space_group_name_H-M_alt 'I -4 m 2'
_space_group_IT_number 119
_space_group_name_Hall 'I -4 -2'
loop_
_atom_site_label
_atom_site_type_symbol
_atom_site_fract_x
_atom_site_fract_y
_atom_site_fract_z
Cr1 Cr 0.000 0.000 0.000
Cr2 Cr 0.000 0.500 0.250
Fe1 Fe 0.000 0.000 0.500
Rh1 Rh 0.000 0.500 0.750
```

=====

Which of them is the most stable? Correct choice: Q.

=====

P | A geometry-optimized CrFeRh structure, computed with PBEsol.

```
data_CrFeRh
_chemical_formula_sum 'Cr2 Fe2 Rh2'
_cell_length_a 2.568
_cell_length_b 3.568
_cell_length_c 7.765
_cell_angle_alpha 90.00
_cell_angle_beta 90.00
_cell_angle_gamma 90.00
_space_group_name_H-M_alt 'I m m 2'
_space_group_IT_number 44
_space_group_name_Hall 'I 2 -2'
loop_
_atom_site_label
_atom_site_type_symbol
_atom_site_fract_x
_atom_site_fract_y
_atom_site_fract_z
Cr1 Cr 0.000 0.000 0.000
Fe1 Fe 0.000 0.000 0.660
Rh1 Rh 0.000 0.000 0.331
```

=====

Q | A geometry-optimized CrFeRh structure, computed with PBEsol.

```
data_CrFeRh
_chemical_formula_sum 'Cr1 Fe1 Rh1'
_cell_length_a 3.9906
_cell_length_b 3.9906
_cell_length_c 2.5525
_cell_angle_alpha 90.00
_cell_angle_beta 90.00
_cell_angle_gamma 120.00
_space_group_name_H-M_alt 'P -6 m 2'
_space_group_IT_number 187
_space_group_name_Hall 'P -6 2'
loop_
_atom_site_label
_atom_site_type_symbol
_atom_site_fract_x
_atom_site_fract_y
_atom_site_fract_z
Cr1 Cr 0.0000 0.0000 0.0000
Fe1 Fe 0.6667 0.3333 0.0000
Rh1 Rh 0.3333 0.6667 0.5000
```

=====

Which of them is the most stable? Correct choice: Q.

=====

P | A geometry-optimized Cr2FeRu structure, computed with PBEsol.

```
data_Cr2FeRu
_chemical_formula_sum 'Cr8 Fe4 Ru4'
_cell_length_a 5.726
_cell_length_b 5.726
_cell_length_c 5.726
_cell_angle_alpha 90.00
_cell_angle_beta 90.00
_cell_angle_gamma 90.00
_space_group_name_H-M_alt 'F m -3 m'
_space_group_IT_number 225
_space_group_name_Hall '-F 4 2 3'
loop_
_atom_site_label
_atom_site_type_symbol
_atom_site_fract_x
_atom_site_fract_y
_atom_site_fract_z
Cr1 Cr 0.250 0.250 0.250
Fe1 Fe 0.000 0.000 0.000
Ru1 Ru 0.000 0.000 0.500
```

=====

Q | A geometry-optimized Cr2FeRu structure, computed with PBEsol.

```
data_Cr2FeRu
_chemical_formula_sum 'Cr4 Fe2 Ru2'
_cell_length_a 2.847
_cell_length_b 4.140
_cell_length_c 8.007
_cell_angle_alpha 90.00
_cell_angle_beta 90.00
_cell_angle_gamma 90.00
_space_group_name_H-M_alt 'C m m 2'
_space_group_IT_number 35
_space_group_name_Hall 'C 2 -2'
loop_
_atom_site_label
_atom_site_type_symbol
_atom_site_fract_x
_atom_site_fract_y
_atom_site_fract_z
Cr1 Cr 0.000 0.000 0.000
Cr2 Cr 0.000 0.500 0.235
Fe1 Fe 0.000 0.500 0.759
Ru1 Ru 0.000 0.000 0.495
```

=====

Which of them is the most stable? Correct choice: Q.

=====

P | A geometry-optimized CrFeSb2 structure, computed with PBEsol.

```
data_CrFeSb2
_chemical_formula_sum 'Cr1 Fe1 Sb2'
_cell_length_a 3.168
_cell_length_b 3.168
_cell_length_c 6.229
_cell_angle_alpha 90.00
_cell_angle_beta 90.00
_cell_angle_gamma 90.00
_space_group_name_H-M_alt 'P 4/m m m'
_space_group_IT_number 123
_space_group_name_Hall '-P 4 2'
loop_
_atom_site_label
_atom_site_type_symbol
_atom_site_fract_x
_atom_site_fract_y
_atom_site_fract_z
Cr1 Cr 0.000 0.000 0.000
Fe1 Fe 0.000 0.000 0.500
Sb1 Sb 0.500 0.500 0.251
```

=====

Q | A geometry-optimized CrFeSb2 structure, computed with PBEsol.

```
data_CrFeSb2
_chemical_formula_sum 'Cr2 Fe2 Sb4'
_cell_length_a 3.895
_cell_length_b 3.895
_cell_length_c 9.290
_cell_angle_alpha 90.00
_cell_angle_beta 90.00
_cell_angle_gamma 90.00
_space_group_name_H-M_alt 'I -4 m 2'
_space_group_IT_number 119
_space_group_name_Hall 'I -4 -2'
loop_
_atom_site_label
_atom_site_type_symbol
_atom_site_fract_x
_atom_site_fract_y
_atom_site_fract_z
Cr1 Cr 0.000 0.000 0.000
Fe1 Fe 0.000 0.500 0.250
Sb1 Sb 0.000 0.000 0.500
Sb2 Sb 0.000 0.500 0.750
```

=====

Which of them is the most stable? Correct choice: P.